1.
A relaxed structure of NaRuSe, computed with PBE.

Calculated values
M_tot: 0.00 μB per formula unit
raw formation energy: -0.32 eV/atom
uncorrected energy: -15.03 eV per formula unit
density of states at the Fermi level: 3.9 states/eV per cell

Cell: 4.1156 4.1156 7.4266 Å, 90.00 90.00 90.00°
Space group P4/nmm (No. 129, origin choice 2)
Unique sites:
Na  0.2500  0.2500  0.1613 (multiplicity 2)
Ru  0.2500  0.7500  0.5000 (multiplicity 2)
Se  0.2500  0.2500  0.6855 (multiplicity 2)

***

2.
A relaxed structure of NaRuSe3, computed with PBE.

Calculated values
M_tot: 2.85 μB per formula unit
raw formation energy: 0.00 eV/atom
uncorrected energy: -21.03 eV per formula unit
density of states at the Fermi level: 5.5 states/eV per cell
offset from the most stable computed form: 0.0000 eV per atom

Cell: 4.9900 4.9900 4.9900 Å, 90.00 90.00 90.00°
Space group Pm-3m (No. 221)
Unique sites:
Na  0.0000  0.0000  0.0000 (multiplicity 1)
Ru  0.5000  0.5000  0.5000 (multiplicity 1)
Se  0.0000  0.5000  0.5000 (multiplicity 3)

***

3.
A relaxed structure of NaRuSe3, computed with PBE.

Calculated values
M_tot: 1.76 μB per formula unit
raw formation energy: 1.28 eV/atom
uncorrected energy: -14.64 eV per formula unit
density of states at the Fermi level: 13.3 states/eV per cell
offset from the most stable computed form: 1.2786 eV per atom

Cell: 5.0289 5.0289 5.0289 Å, 90.00 90.00 90.00°
Space group Pm-3m (No. 221)
Unique sites:
Na  0.0000  0.0000  0.0000 (multiplicity 1)
Ru  0.5000  0.5000  0.5000 (multiplicity 1)
Se  0.0000  0.0000  0.5000 (multiplicity 3)

***

4.
A relaxed structure of NaRu2Se, computed with PBE.

Calculated values
M_tot: 0.00 μB per formula unit
raw formation energy: 0.55 eV/atom
uncorrected energy: -21.15 eV per formula unit
density of states at the Fermi level: 15.1 states/eV per cell

Cell: 7.4190 7.4190 5.3765 Å, 90.00 90.00 90.00°
Space group I-42d (No. 122)
Unique sites:
Na  0.0000  0.0000  0.0000 (multiplicity 4)
Ru  0.1680  0.2500  0.6250 (multiplicity 8)
Se  0.0000  0.0000  0.5000 (multiplicity 4)

***

5.
A relaxed structure of NaTl2RuSe, computed with PBE.

Calculated values
M_tot: 1.41 μB per formula unit
raw formation energy: 0.46 eV/atom
uncorrected energy: -16.52 eV per formula unit
density of states at the Fermi level: 8.0 states/eV per cell

Cell: 5.2256 5.2256 5.5501 Å, 90.00 90.00 90.00°
Space group P4/mmm (No. 123)
Unique sites:
Na  0.0000  0.0000  0.0000 (multiplicity 1)
Tl  0.0000  0.5000  0.5000 (multiplicity 2)
Ru  0.0000  0.0000  0.5000 (multiplicity 1)
Se  0.5000  0.5000  0.0000 (multiplicity 1)

***

6.
A relaxed structure of NaSi3Ru, computed with PBE.

Calculated values
M_tot: 1.57 μB per formula unit
raw formation energy: 2.00 eV/atom
uncorrected energy: -16.84 eV per formula unit
density of states at the Fermi level: 5.5 states/eV per cell
offset from the most stable computed form: 1.6468 eV per atom

Cell: 4.6891 4.6891 4.6891 Å, 90.00 90.00 90.00°
Space group Pm-3m (No. 221)
Unique sites:
Na  0.0000  0.0000  0.0000 (multiplicity 1)
Si  0.0000  0.0000  0.5000 (multiplicity 3)
Ru  0.5000  0.5000  0.5000 (multiplicity 1)

***

7.
A relaxed structure of Na3SiRu, computed with PBE.

Calculated values
M_tot: 3.73 μB per formula unit
raw formation energy: 1.32 eV/atom
uncorrected energy: -12.07 eV per formula unit
density of states at the Fermi level: 16.1 states/eV per cell
offset from the most stable computed form: 0.0000 eV per atom

Cell: 5.4293 5.4293 5.4293 Å, 90.00 90.00 90.00°
Space group Pm-3m (No. 221)
Unique sites:
Na  0.0000  0.0000  0.5000 (multiplicity 3)
Si  0.0000  0.0000  0.0000 (multiplicity 1)
Ru  0.5000  0.5000  0.5000 (multiplicity 1)

***

8.
A relaxed structure of Na3SiRu, computed with PBE.

Calculated values
M_tot: 1.43 μB per formula unit
raw formation energy: 1.39 eV/atom
uncorrected energy: -11.72 eV per formula unit
density of states at the Fermi level: 4.7 states/eV per cell
offset from the most stable computed form: 0.0697 eV per atom

Cell: 5.3029 5.3029 5.3029 Å, 90.00 90.00 90.00°
Space group Pm-3m (No. 221)
Unique sites:
Na  0.0000  0.0000  0.5000 (multiplicity 3)
Si  0.5000  0.5000  0.5000 (multiplicity 1)
Ru  0.0000  0.0000  0.0000 (multiplicity 1)

***

- Which of these has the highest density of states at the Fermi level?
  number 7

***

- What is the raw formation energy in the second record?
  0.00 eV/atom

***

Repeat the third record exactly.
A relaxed structure of NaRuSe3, computed with PBE.

Calculated values
M_tot: 1.76 μB per formula unit
raw formation energy: 1.28 eV/atom
uncorrected energy: -14.64 eV per formula unit
density of states at the Fermi level: 13.3 states/eV per cell
offset from the most stable computed form: 1.2786 eV per atom

Cell: 5.0289 5.0289 5.0289 Å, 90.00 90.00 90.00°
Space group Pm-3m (No. 221)
Unique sites:
Na  0.0000  0.0000  0.0000 (multiplicity 1)
Ru  0.5000  0.5000  0.5000 (multiplicity 1)
Se  0.0000  0.0000  0.5000 (multiplicity 3)